3
Lattice="0.0000 3.7734 3.7734 3.7734 0.0000 3.7734 3.7734 3.7734 0.0000" Properties=species:S:1:pos:R:3 comment="SrBiMo | OQMD | PBE | relaxed" magnetic_moment_mub_per_fu=5.0 mass_density_g_cm3=6.1 vol_a3_per_atom=35.8 e_above_lowest_polymorph_ev_per_fu=1.45 pbc="T T T"
Sr 0.0000 0.0000 0.0000
Bi 5.6601 5.6601 5.6601
Mo 1.8867 1.8867 1.8867